1.
ReN PBE-GGA optimized geometry; total energy = -0.357 hartree per atom; formation energy without anion corrections = 64 kJ per mole of atoms; total moment = 0.0 μB per formula unit; ΔE to the lowest computed polymorph = 619 meV per atom
1.0
-2.615 0.969 0.180
0.505 -2.427 -1.289
-0.364 -1.468 2.620
N Re
1 1
Cartesian
-1.757 -0.897 1.000
0.000 0.000 0.000


2.
CuTc2Sn2 PBE-GGA optimized geometry; formation enthalpy at 0 K = 189 meV per atom; total energy = -0.234 hartree per atom; total moment = 0.0 μB per formula unit
1.0
-6.323 1.986 0.040
-1.897 -6.077 1.843
0.360 1.067 3.890
Sn Tc Cu
4 4 2
Cartesian
-5.695 0.176 2.587
-5.630 -3.181 3.502
-2.230 0.157 2.271
-2.165 -3.200 3.186
-1.547 -1.948 0.678
-3.947 -4.531 1.608
-6.673 -2.143 1.205
-4.273 0.440 0.275
0.000 0.000 0.000
-4.110 -2.046 0.941


3.
ScSbAsIr2 PBE-GGA optimized geometry; total energy = -0.207 hartree per atom; formation energy without anion corrections = 90 kJ per mole of atoms; total moment = 0.0 μB per formula unit
1.0
4.847 0.000 0.000
0.000 5.162 0.000
0.000 0.000 4.847
Ir Sb As Sc
2 1 1 1
Cartesian
0.000 0.000 2.424
2.424 0.000 0.000
0.000 0.000 0.000
0.000 2.581 0.000
2.424 2.581 2.424


4.
CaIr2Pt PBE-GGA optimized geometry; formation enthalpy at 0 K = 30 meV per atom; total energy = -0.236 hartree per atom; total moment = 0.0 μB per formula unit; ΔE to the lowest computed polymorph = 158 meV per atom
1.0
5.033 0.000 0.000
1.817 4.693 0.000
-3.425 -2.347 2.844
Ir Ca Pt
2 1 1
Cartesian
0.000 0.000 0.000
3.425 2.347 0.000
2.516 0.000 1.422
0.909 2.347 1.422


5.
Rb2FeSnPb PBE-GGA optimized geometry; formation enthalpy at 0 K = 558 meV per atom; total energy = -0.113 hartree per atom; total moment = 3.3 μB per formula unit
1.0
-6.079 0.687 -2.010
-1.092 -4.594 1.731
-1.599 2.529 5.702
Rb Fe Pb Sn
2 1 1 1
Cartesian
-3.040 0.343 -1.005
-0.800 1.265 2.851
0.000 0.000 0.000
-4.385 -0.689 2.712
-0.546 -2.297 0.866


6.
LaTh2B6 PBE-GGA optimized geometry; formation enthalpy at 0 K = -374 meV per atom; total energy = -0.258 hartree per atom; total moment = 0.0 μB per formula unit
1.0
4.242 0.000 0.000
0.000 5.000 -2.887
0.000 0.000 5.773
B Th La
6 2 1
Cartesian
2.121 3.322 1.918
2.121 1.678 0.969
2.121 0.000 3.836
2.121 0.000 1.937
2.121 1.678 -0.969
2.121 3.322 3.855
0.000 1.667 2.887
0.000 3.333 0.000
0.000 0.000 0.000


7.
BaCu3H PBE-GGA optimized geometry; total energy = -0.109 hartree per atom; total moment = 0.0 μB per formula unit; ΔE to the lowest computed polymorph = 0 meV per atom
1.0
4.449 0.000 0.000
0.000 4.449 0.000
0.000 0.000 4.449
H Ba Cu
1 1 3
Cartesian
0.000 0.000 0.000
2.225 2.225 2.225
0.000 2.225 0.000
0.000 0.000 2.225
2.225 0.000 0.000


8.
BeTc4Mo PBE-GGA optimized geometry; formation enthalpy at 0 K = 383 meV per atom; total energy = -0.329 hartree per atom; total moment = 0.0 μB per formula unit
1.0
0.539 0.563 4.993
-3.210 -2.287 3.162
1.572 -3.883 2.826
Mo Tc Be
1 4 1
Cartesian
0.000 0.000 0.000
0.909 -2.364 5.283
-0.685 -3.499 6.853
-0.953 -3.779 4.374
-1.466 -1.571 5.450
-0.275 -1.402 2.745


9.
BaOsCl3 PBE-GGA optimized geometry; total energy = -0.135 hartree per atom; formation energy without anion corrections = 5 kJ per mole of atoms; total moment = 5.0 μB per formula unit; ΔE to the lowest computed polymorph = 712 meV per atom
1.0
5.934 0.000 0.000
0.000 5.934 0.000
0.000 0.000 5.934
Cl Ba Os
3 1 1
Cartesian
0.000 0.000 2.967
0.000 2.967 0.000
2.967 0.000 0.000
0.000 0.000 0.000
2.967 2.967 2.967


10.
Tb2Pm6PrTm PBE-GGA optimized geometry; formation enthalpy at 0 K = 114 meV per atom; total energy = -0.169 hartree per atom; total moment = 0.0 μB per formula unit
1.0
9.210 -2.023 -2.099
0.857 8.667 -2.028
0.857 -2.348 8.586
Pm Tb Tm Pr
12 4 2 2
Cartesian
9.665 5.141 -1.677
5.060 -0.855 6.125
5.865 5.152 -1.665
8.815 -0.452 1.940
2.213 4.487 -1.449
4.107 6.923 1.078
6.716 1.331 3.790
6.818 -2.626 3.381
1.260 -0.844 6.136
2.110 4.749 2.520
4.209 2.966 0.669
8.712 -0.190 5.909
5.455 4.360 3.410
5.470 -0.062 1.049
10.060 2.235 3.433
0.865 2.062 1.026
3.160 1.677 3.696
7.765 2.620 0.763
3.160 7.877 -2.278
7.765 -3.580 6.738


11.
Ti2CdHRu PBE-GGA optimized geometry; total energy = -0.223 hartree per atom; total moment = 0.0 μB per formula unit
1.0
-2.484 -1.961 2.794
1.267 -3.738 -1.498
2.857 -0.038 2.512
Cd Ti Ru H
1 2 1 1
Cartesian
0.820 -2.869 1.905
-1.242 -0.981 1.397
0.633 -1.869 -0.749
1.428 -0.019 1.256
0.000 0.000 0.000


12.
Sr2Ni3As4Pt PBE-GGA optimized geometry; formation enthalpy at 0 K = -682 meV per atom; total energy = -0.192 hartree per atom; total moment = 0.0 μB per formula unit
1.0
4.327 0.000 0.000
0.000 4.327 0.000
0.000 0.000 9.749
Pt Sr As Ni
1 2 4 3
Cartesian
2.164 2.164 4.874
0.000 2.164 7.345
2.164 0.000 2.404
2.164 2.164 0.000
0.000 0.000 0.000
0.000 2.164 3.533
2.164 0.000 6.216
0.000 0.000 4.874
2.164 0.000 8.637
0.000 2.164 1.112


13.
Li7Cd3Ag2 PBE-GGA optimized geometry; formation enthalpy at 0 K = -144 meV per atom; total energy = -0.072 hartree per atom; total moment = 0.0 μB per formula unit
1.0
-2.837 0.110 0.975
0.395 -4.444 1.653
4.482 9.294 11.992
Cd Li Ag
3 7 2
Cartesian
1.703 2.772 4.643
3.174 2.079 9.002
-1.221 -2.167 1.314
2.606 3.150 11.851
0.839 -0.736 2.527
-0.566 1.811 2.769
1.111 3.806 7.426
0.928 1.155 7.193
0.000 0.000 0.000
4.037 5.587 11.118
0.111 0.168 4.926
1.929 4.793 9.694


14.
ScTlCo3 PBE-GGA optimized geometry; formation enthalpy at 0 K = 1188 meV per atom; total energy = -0.177 hartree per atom; total moment = 1.6 μB per formula unit; ΔE to the lowest computed polymorph = 0 meV per atom
1.0
-2.883 2.356 2.468
-0.866 -3.631 2.454
3.300 1.105 2.800
Sc Tl Co
1 1 3
Cartesian
0.000 0.000 0.000
-0.225 -0.085 3.861
-1.442 1.178 1.234
-0.433 -1.816 1.227
1.650 0.553 1.400


15.
ScPaAgOs PBE-GGA optimized geometry; formation enthalpy at 0 K = -105 meV per atom; total energy = -0.279 hartree per atom; total moment = 0.0 μB per formula unit
1.0
-4.754 0.782 0.646
-3.253 -2.922 -2.122
-2.625 -3.077 2.695
Sc Ag Os Pa
1 1 1 1
Cartesian
-5.316 -2.609 0.609
-7.974 -3.913 0.914
-2.658 -1.304 0.305
0.000 0.000 0.000